1:
First-principles (PBE-GGA) data for a relaxed structure of SiTc2Se, as listed in Alexandria.

Output
V	15.37	A^3/atom

Cell: 7.9719 7.9719 7.9719 Å, 21.85 21.85 21.85°
Fractional positions:
1 Si 0.0000 0.0000 0.0000
2 Tc 0.4994 0.4994 0.4994
3 Tc 0.7397 0.7397 0.7397
4 Se 0.2431 0.2431 0.2431

2:
First-principles (PBE-GGA) data for a relaxed structure of SiTc2Se, as listed in Alexandria.

Output
V	20.40	A^3/atom

Cell: 6.6729 6.6729 6.6729 Å, 131.49 131.49 71.03°
Fractional positions:
1 Si 0.0000 0.0000 0.0000
2 Si 0.7500 0.2500 0.5000
3 Tc 0.1196 0.6250 0.9946
4 Tc 0.3750 0.3696 0.4946
5 Tc 0.6304 0.1250 0.0054
6 Tc 0.8750 0.8804 0.5054
7 Se 0.2500 0.7500 0.5000
8 Se 0.5000 0.5000 0.0000

If we sort the structures by their calculated energies, the order from most to least stable is 1, 2.

1:
First-principles (PBE-GGA) data for a relaxed structure of SiTc2Se, as listed in Alexandria.

Output
V	15.23	A^3/atom

Cell: 3.0329 3.9617 5.0705 Å, 90.00 90.00 90.00°
Fractional positions:
1 Si 0.0000 0.0000 0.0000
2 Tc 0.0000 0.5000 0.5000
3 Tc 0.5000 0.5000 0.0000
4 Se 0.5000 0.0000 0.5000

2:
First-principles (PBE-GGA) data for a relaxed structure of SiTc2Se, as listed in Alexandria.

Output
V	14.77	A^3/atom

Cell: 4.2993 4.2993 5.0887 Å, 102.97 102.97 40.30°
Fractional positions:
1 Si 0.0000 0.0000 0.0000
2 Tc 0.2660 0.2660 0.7513
3 Tc 0.7340 0.7340 0.2487
4 Se 0.5000 0.5000 0.5000

If we sort the structures by their calculated energies, the order from most to least stable is 2, 1.

1:
First-principles (PBE-GGA) data for a relaxed structure of SiTc2Se, as listed in Alexandria.

Output
V	14.83	A^3/atom

Cell: 2.9044 3.9087 5.2252 Å, 90.00 90.00 90.00°
Fractional positions:
1 Si 0.0000 0.0000 0.0000
2 Tc 0.0000 0.0000 0.4850
3 Tc 0.5000 0.5000 0.1634
4 Se 0.5000 0.5000 0.6492

2:
First-principles (PBE-GGA) data for a relaxed structure of SiTc2Se, as listed in Alexandria.

Output
V	15.22	A^3/atom

Cell: 4.9515 4.9515 4.9515 Å, 142.95 122.08 70.77°
Fractional positions:
1 Si 0.0000 0.0000 0.0000
2 Tc 0.2225 0.7225 0.5000
3 Tc 0.7775 0.2775 0.5000
4 Se 0.5000 0.5000 0.0000

3:
First-principles (PBE-GGA) data for a relaxed structure of SiTc2Se, as listed in Alexandria.

Output
V	15.15	A^3/atom

Cell: 4.4089 4.4089 4.4089 Å, 60.00 60.00 60.00°
Fractional positions:
1 Si 0.0000 0.0000 0.0000
2 Tc 0.2500 0.2500 0.2500
3 Tc 0.5000 0.5000 0.5000
4 Se 0.7500 0.7500 0.7500

4:
First-principles (PBE-GGA) data for a relaxed structure of SiTc2Se, as listed in Alexandria.

Output
V	14.15	A^3/atom

Cell: 3.0316 3.0316 6.1601 Å, 90.00 90.00 90.00°
Fractional positions:
1 Si 0.0000 0.0000 0.0000
2 Tc 0.5000 0.5000 0.2349
3 Tc 0.5000 0.5000 0.7651
4 Se 0.0000 0.0000 0.5000

If we sort the structures by their calculated energies, the order from most to least stable is 4, 1, 2, 3.

1:
First-principles (PBE-GGA) data for a relaxed structure of SiTc2Se, as listed in Alexandria.

Output
V	14.85	A^3/atom

Cell: 3.2061 3.2061 5.7791 Å, 90.00 90.00 90.00°
Fractional positions:
1 Si 0.0000 0.0000 0.0000
2 Tc 0.0000 0.0000 0.5000
3 Tc 0.5000 0.5000 0.1478
4 Se 0.5000 0.5000 0.6951

2:
First-principles (PBE-GGA) data for a relaxed structure of SiTc2Se, as listed in Alexandria.

Output
V	14.09	A^3/atom

Cell: 4.3037 4.3037 4.3037 Å, 60.00 60.00 60.00°
Fractional positions:
1 Si 0.0000 0.0000 0.0000
2 Tc 0.2500 0.2500 0.2500
3 Tc 0.7500 0.7500 0.7500
4 Se 0.5000 0.5000 0.5000

If we sort the structures by their calculated energies, the order from most to least stable is 2, 1.

1:
First-principles (PBE-GGA) data for a relaxed structure of SiTc2Se, as listed in Alexandria.

Output
V	14.82	A^3/atom

Cell: 5.3893 5.3893 5.3893 Å, 147.49 134.80 56.78°
Fractional positions:
1 Si 0.0000 0.0000 0.0000
2 Tc 0.2320 0.7320 0.5000
3 Tc 0.4970 0.4970 0.0000
4 Se 0.7227 0.2227 0.5000

2:
First-principles (PBE-GGA) data for a relaxed structure of SiTc2Se, as listed in Alexandria.

Output
V	14.78	A^3/atom

Cell: 7.9168 7.9168 7.9168 Å, 21.64 21.64 21.64°
Fractional positions:
1 Si 0.0000 0.0000 0.0000
2 Tc 0.2521 0.2521 0.2521
3 Tc 0.7479 0.7479 0.7479
4 Se 0.5000 0.5000 0.5000

If we sort the structures by their calculated energies, the order from most to least stable is 2, 1.

1:
First-principles (PBE-GGA) data for a relaxed structure of Si2TeSe2, as listed in Alexandria.

Output
V	20.94	A^3/atom

Cell: 5.6395 5.6395 5.6395 Å, 129.28 129.28 74.56°
Fractional positions:
1 Si 0.1424 0.1424 0.0000
2 Si 0.8576 0.8576 0.0000
3 Te 0.5000 0.5000 0.0000
4 Se 0.2500 0.7500 0.5000
5 Se 0.7500 0.2500 0.5000

2:
First-principles (PBE-GGA) data for a relaxed structure of Si2TeSe2, as listed in Alexandria.

Output
V	22.94	A^3/atom

Cell: 6.2881 6.2881 6.2881 Å, 136.89 136.89 62.61°
Fractional positions:
1 Si 0.2500 0.7500 0.5000
2 Si 0.7500 0.2500 0.5000
3 Te 0.0000 0.0000 0.0000
4 Se 0.3468 0.3468 0.0000
5 Se 0.6532 0.6532 0.0000

If we sort the structures by their calculated energies, the order from most to least stable is 1, 2.

1:
First-principles (PBE-GGA) data for a relaxed structure of SiTeSe2, as listed in Alexandria.

Output
V	21.78	A^3/atom

Cell: 4.9577 4.9577 3.5446 Å, 90.00 90.00 90.00°
Fractional positions:
1 Si 0.0000 0.0000 0.0000
2 Te 0.5000 0.5000 0.0000
3 Se 0.0000 0.5000 0.5000
4 Se 0.5000 0.0000 0.5000

2:
First-principles (PBE-GGA) data for a relaxed structure of SiTeSe2, as listed in Alexandria.

Output
V	24.17	A^3/atom

Cell: 5.1912 3.3876 5.6774 Å, 90.00 104.49 90.00°
Fractional positions:
1 Si 0.0000 0.0000 0.0000
2 Te 0.0000 0.0000 0.5000
3 Se 0.3531 0.5000 0.1551
4 Se 0.6469 0.5000 0.8449

If we sort the structures by their calculated energies, the order from most to least stable is 2, 1.

1:
First-principles (PBE-GGA) data for a relaxed structure of SiTeSe2, as listed in Alexandria.

Output
V	28.32	A^3/atom

Cell: 8.0014 8.0014 8.0014 Å, 151.92 151.92 40.13°
Fractional positions:
1 Si 0.0000 0.0000 0.0000
2 Te 0.2500 0.7500 0.5000
3 Se 0.5000 0.5000 0.0000
4 Se 0.7500 0.2500 0.5000

2:
First-principles (PBE-GGA) data for a relaxed structure of SiTeSe2, as listed in Alexandria.

Output
V	28.89	A^3/atom

Cell: 7.4094 7.4094 7.4094 Å, 153.17 140.83 48.11°
Fractional positions:
1 Si 0.0000 0.0000 0.0000
2 Te 0.1762 0.6762 0.5000
3 Se 0.5960 0.5960 0.0000
4 Se 0.8810 0.3810 0.5000

If we sort the structures by their calculated energies, the order from most to least stable is 2, 1.